(1)
# CaCuPd2Cl (PBE-GGA, optimized geometry)
# Total moment, μB per cell: 0.00
# Uncorrected energy, eV/atom: -3.61
# Raw formation energy, eV per atom: 0.0601
data_CaCuPd2Cl
_space_group_name_H-M_alt 'P 1'
_space_group_IT_number 1
_cell_length_a 4.6455
_cell_length_b 5.0625
_cell_length_c 4.6455
_cell_angle_alpha 90.00
_cell_angle_beta 90.00
_cell_angle_gamma 90.00
loop_
_space_group_symop_operation_xyz
'x,y,z'
loop_
_atom_site_label
_atom_site_fract_x
_atom_site_fract_y
_atom_site_fract_z
Cl1 0.0000 0.0000 0.0000
Cu1 0.5000 0.5000 0.5000
Ca1 0.0000 0.5000 0.0000
Pd1 0.5000 0.0000 0.0000
Pd2 0.0000 0.0000 0.5000

(2)
# DyYTm2Sc (PBE-GGA, optimized geometry)
# Total moment, μB per cell: 0.94
# Uncorrected energy, eV/atom: -4.90
# Energy of formation from the pure elements, kJ per mole of atoms: 35.3
data_DyYTm2Sc
_space_group_name_H-M_alt 'P 1'
_space_group_IT_number 1
_cell_length_a 6.2730
_cell_length_b 6.2680
_cell_length_c 8.5687
_cell_angle_alpha 111.45
_cell_angle_beta 90.00
_cell_angle_gamma 90.00
loop_
_space_group_symop_operation_xyz
'x,y,z'
loop_
_atom_site_label
_atom_site_fract_x
_atom_site_fract_y
_atom_site_fract_z
Dy1 0.7500 0.3414 0.6828
Y1 0.2500 0.2504 0.5007
Tm1 0.5000 0.7517 0.0000
Sc1 0.7500 0.1546 0.3092
Dy2 0.2500 0.6586 0.3172
Y2 0.7500 0.7496 0.4993
Sc2 0.2500 0.8454 0.6908
Tm2 0.0000 0.7517 0.0000
Tm3 0.0000 0.2483 0.0000
Tm4 0.5000 0.2483 0.0000

Question: The highest uncorrected energy belongs to which entry?
Answer: CaCuPd2Cl